## CrHgAsO6 (PBE+U)

Data for crystalline CrHgAsO6 at its relaxed geometry.

It has space group P312 (No. 149), with a = 5.0092 Å, b = 5.0092 Å, c = 4.9842 Å, α = 90.00°, β = 90.00° and γ = 120.00°. Symmetry generates all atoms from Cr at (0.0000, 0.0000, 0.0000), Hg at (0.6667, 0.3333, 0.5000), As at (0.3333, 0.6667, 0.0000) and O at (0.0535, 0.3378, 0.2097).

The value obtained for the total energy is -5.67 eV per atom.

---

## Cr2HgAsO (PBE+U)

Data for crystalline Cr2HgAsO at its relaxed geometry.

It has space group P4/mmm (No. 123), with a = 5.3948 Å, b = 5.3948 Å, c = 4.9852 Å, α = 90.00°, β = 90.00° and γ = 90.00°. Symmetry generates all atoms from Cr at (0.0000, 0.5000, 0.0000), Hg at (0.0000, 0.0000, 0.0000), As at (0.0000, 0.0000, 0.5000) and O at (0.5000, 0.5000, 0.5000).

The value obtained for the total energy is -3.79 eV per atom.